# 1
La6DyS8 | GGA-PBE | optimized geometry

Lattice parameters (Å, degrees): 8.2707 8.2707 8.2707 60.00 60.00 60.00
Sites, in units of the cell vectors:
La (0.0000, 0.5000, 0.5000)
La (0.5000, 0.0000, 0.0000)
La (0.5000, 0.5000, 0.0000)
La (0.0000, 0.0000, 0.5000)
La (0.0000, 0.5000, 0.0000)
La (0.5000, 0.0000, 0.5000)
Dy (0.0000, 0.0000, 0.0000)
S (0.7500, 0.7500, 0.7500)
S (0.2500, 0.2500, 0.2500)
S (0.7620, 0.2380, 0.2380)
S (0.2380, 0.7620, 0.7620)
S (0.2380, 0.2380, 0.7620)
S (0.7620, 0.7620, 0.2380)
S (0.7620, 0.2380, 0.7620)
S (0.2380, 0.7620, 0.2380)

Output
ρ: 5199 kg/m3
calculated total energy: -6.638 eV/atom
formation energy from raw total energies: -2.158 eV/atom

***

# 2
La4Dy11S22 | GGA-PBE | optimized geometry

Lattice parameters (Å, degrees): 3.9950 11.4362 19.8468 91.76 95.78 90.00
Sites, in units of the cell vectors:
La (0.8953, 0.9894, 0.7905)
La (0.1047, 0.0106, 0.2095)
La (0.6326, 0.6513, 0.2652)
La (0.3674, 0.3487, 0.7348)
Dy (0.2025, 0.9412, 0.4049)
Dy (0.7975, 0.0588, 0.5951)
Dy (0.5382, 0.7302, 0.0763)
Dy (0.4618, 0.2698, 0.9237)
Dy (0.3419, 0.7003, 0.6837)
Dy (0.6581, 0.2997, 0.3163)
Dy (0.7362, 0.6482, 0.4724)
Dy (0.2638, 0.3518, 0.5276)
Dy (0.9295, 0.6398, 0.8591)
Dy (0.0705, 0.3602, 0.1409)
Dy (0.0000, 0.0000, 0.0000)
S (0.9125, 0.2466, 0.8250)
S (0.0875, 0.7534, 0.1750)
S (0.8109, 0.3096, 0.6218)
S (0.1891, 0.6904, 0.3782)
S (0.7203, 0.4095, 0.4406)
S (0.2797, 0.5905, 0.5594)
S (0.5580, 0.5088, 0.1160)
S (0.4420, 0.4912, 0.8840)
S (0.8643, 0.5485, 0.7286)
S (0.1357, 0.4515, 0.2714)
S (0.4069, 0.7883, 0.8138)
S (0.5931, 0.2117, 0.1862)
S (0.5468, 0.9697, 0.0936)
S (0.4532, 0.0303, 0.9064)
S (0.6500, 0.9075, 0.3000)
S (0.3500, 0.0925, 0.7000)
S (0.8312, 0.8498, 0.6624)
S (0.1688, 0.1502, 0.3376)
S (0.9921, 0.7593, 0.9842)
S (0.0079, 0.2407, 0.0158)
S (0.7449, 0.8812, 0.4899)
S (0.2551, 0.1188, 0.5101)

Output
ρ: 5614 kg/m3
calculated total energy: -6.491 eV/atom
formation energy from raw total energies: -2.136 eV/atom

***

Please write out number 2 again, unchanged.
La4Dy11S22 | GGA-PBE | optimized geometry

Lattice parameters (Å, degrees): 3.9950 11.4362 19.8468 91.76 95.78 90.00
Sites, in units of the cell vectors:
La (0.8953, 0.9894, 0.7905)
La (0.1047, 0.0106, 0.2095)
La (0.6326, 0.6513, 0.2652)
La (0.3674, 0.3487, 0.7348)
Dy (0.2025, 0.9412, 0.4049)
Dy (0.7975, 0.0588, 0.5951)
Dy (0.5382, 0.7302, 0.0763)
Dy (0.4618, 0.2698, 0.9237)
Dy (0.3419, 0.7003, 0.6837)
Dy (0.6581, 0.2997, 0.3163)
Dy (0.7362, 0.6482, 0.4724)
Dy (0.2638, 0.3518, 0.5276)
Dy (0.9295, 0.6398, 0.8591)
Dy (0.0705, 0.3602, 0.1409)
Dy (0.0000, 0.0000, 0.0000)
S (0.9125, 0.2466, 0.8250)
S (0.0875, 0.7534, 0.1750)
S (0.8109, 0.3096, 0.6218)
S (0.1891, 0.6904, 0.3782)
S (0.7203, 0.4095, 0.4406)
S (0.2797, 0.5905, 0.5594)
S (0.5580, 0.5088, 0.1160)
S (0.4420, 0.4912, 0.8840)
S (0.8643, 0.5485, 0.7286)
S (0.1357, 0.4515, 0.2714)
S (0.4069, 0.7883, 0.8138)
S (0.5931, 0.2117, 0.1862)
S (0.5468, 0.9697, 0.0936)
S (0.4532, 0.0303, 0.9064)
S (0.6500, 0.9075, 0.3000)
S (0.3500, 0.0925, 0.7000)
S (0.8312, 0.8498, 0.6624)
S (0.1688, 0.1502, 0.3376)
S (0.9921, 0.7593, 0.9842)
S (0.0079, 0.2407, 0.0158)
S (0.7449, 0.8812, 0.4899)
S (0.2551, 0.1188, 0.5101)

Output
ρ: 5614 kg/m3
calculated total energy: -6.491 eV/atom
formation energy from raw total energies: -2.136 eV/atom

***

Q: Look up the calculated total energy of the second one.
A: -6.491 eV/atom